Record 1
This record from Alexandria describes an optimized crystal structure of CdC2NCl. The functional is PBE-GGA.

Summary:
electronic total energy = -14.23 eV/cell

Unit cell a=4.049 b=3.916 c=4.049 alpha=90.00 beta=90.00 gamma=90.00
Sites, in units of the cell vectors:
N  0.000  0.500  0.000
C  0.000  0.000  0.500
C  0.500  0.000  0.000
Cl  0.000  0.000  0.000
Cd  0.500  0.500  0.500

=====

Record 2
This record from Alexandria describes an optimized crystal structure of La5S6. The functional is PBE-GGA.

Summary:
electronic total energy = -73.04 eV/cell

Unit cell a=7.226 b=7.207 c=7.168 alpha=80.39 beta=70.55 gamma=59.91
Sites, in units of the cell vectors:
S  0.915  0.660  0.255
S  0.745  0.000  0.752
S  0.425  0.660  0.745
S  0.575  0.340  0.255
S  0.085  0.340  0.745
S  0.255  0.000  0.248
La  0.333  0.333  0.000
La  0.838  0.323  0.500
La  0.500  0.000  0.500
La  0.162  0.677  0.500
La  0.667  0.667  0.000

=====

Record 3
This record from Alexandria describes an optimized crystal structure of HoUPbO6. The functional is PBE-GGA.

Summary:
electronic total energy = -72.60 eV/cell

Unit cell a=4.849 b=5.837 c=5.837 alpha=120.00 beta=90.00 gamma=90.00
Sites, in units of the cell vectors:
O  0.276  0.311  0.299
O  0.724  0.988  0.299
O  0.276  0.988  0.689
O  0.724  0.311  0.012
O  0.724  0.701  0.689
O  0.276  0.701  0.012
Pb  0.000  0.333  0.667
U  0.500  0.000  0.000
Ho  0.500  0.667  0.333

=====

Record 4
This record from Alexandria describes an optimized crystal structure of Er6Sc3Tl. The functional is PBE-GGA.

Summary:
formation energy = 0.03 eV per atom

Unit cell a=3.391 b=12.343 c=13.689 alpha=100.32 beta=90.00 gamma=90.00
Sites, in units of the cell vectors:
Er  0.750  0.492  0.688
Er  0.750  0.777  0.717
Er  0.750  0.744  0.306
Er  0.250  0.191  0.923
Er  0.250  0.508  0.312
Er  0.750  0.121  0.472
Er  0.750  0.345  0.116
Er  0.250  0.223  0.283
Er  0.250  0.655  0.884
Er  0.750  0.809  0.077
Er  0.250  0.256  0.694
Er  0.250  0.879  0.528
Sc  0.250  0.372  0.497
Sc  0.250  0.577  0.096
Sc  0.250  0.925  0.904
Sc  0.750  0.423  0.904
Sc  0.750  0.075  0.096
Sc  0.750  0.628  0.503
Tl  0.250  0.966  0.279
Tl  0.750  0.034  0.721

=====

Record 5
This record from Alexandria describes an optimized crystal structure of Ce2Ga12Pt7. The functional is PBE-GGA.

Summary:
formation energy = -0.72 eV per atom

Unit cell a=4.209 b=10.084 c=10.084 alpha=120.00 beta=90.00 gamma=90.00
Sites, in units of the cell vectors:
Pt  0.500  0.433  0.089
Pt  0.000  0.216  0.298
Pt  0.000  0.082  0.784
Pt  0.000  0.702  0.918
Pt  0.500  0.911  0.344
Pt  0.500  0.656  0.567
Pt  0.000  0.333  0.667
Ga  0.000  0.805  0.729
Ga  0.500  0.548  0.750
Ga  0.000  0.472  0.962
Ga  0.500  0.250  0.797
Ga  0.500  0.925  0.613
Ga  0.500  0.203  0.452
Ga  0.500  0.688  0.075
Ga  0.000  0.923  0.195
Ga  0.000  0.271  0.077
Ga  0.500  0.387  0.312
Ga  0.000  0.038  0.510
Ga  0.000  0.490  0.528
Ce  0.500  0.000  0.000
Ce  0.000  0.667  0.333

=====

Record 6
This record from Alexandria describes an optimized crystal structure of CaTm2RuN4. The functional is PBE-GGA.

Summary:
electronic total energy = -122.19 eV/cell

Unit cell a=3.400 b=6.053 c=11.479 alpha=90.00 beta=90.00 gamma=106.31
Sites, in units of the cell vectors:
N  0.000  0.000  0.000
N  0.743  0.486  0.877
N  0.257  0.514  0.377
N  0.000  0.000  0.500
N  0.257  0.514  0.123
N  0.437  0.874  0.750
N  0.743  0.486  0.623
N  0.563  0.126  0.250
Tm  0.369  0.737  0.535
Tm  0.631  0.263  0.035
Tm  0.369  0.737  0.965
Tm  0.631  0.263  0.465
Ca  0.873  0.745  0.250
Ca  0.127  0.255  0.750
Ru  0.860  0.719  0.750
Ru  0.140  0.281  0.250

=====

Record 7
This record from Alexandria describes an optimized crystal structure of CaCrCl3. The functional is PBE-GGA.

Summary:
electronic total energy = -22.61 eV/cell

Unit cell a=4.980 b=4.980 c=4.980 alpha=90.00 beta=90.00 gamma=90.00
Sites, in units of the cell vectors:
Cl  0.500  0.000  0.000
Cl  0.000  0.500  0.000
Cl  0.000  0.000  0.500
Cr  0.000  0.000  0.000
Ca  0.500  0.500  0.500

=====

Record 8
This record from Alexandria describes an optimized crystal structure of SrTmW2N6. The functional is PBE-GGA.

Summary:
electronic total energy = -177.96 eV/cell

Unit cell a=6.530 b=7.682 c=7.682 alpha=84.33 beta=72.44 gamma=72.44
Sites, in units of the cell vectors:
W  0.319  0.784  0.623
W  0.181  0.377  0.216
W  0.681  0.216  0.377
W  0.819  0.623  0.784
N  0.188  0.995  0.759
N  0.372  0.314  0.380
N  0.812  0.005  0.241
N  0.872  0.380  0.314
N  0.312  0.241  0.005
N  0.138  0.615  0.157
N  0.638  0.157  0.615
N  0.688  0.759  0.995
N  0.362  0.843  0.385
N  0.128  0.620  0.686
N  0.628  0.686  0.620
N  0.862  0.385  0.843
Tm  0.250  0.275  0.725
Tm  0.750  0.725  0.275
Sr  0.750  0.096  0.904
Sr  0.250  0.904  0.096

=====

no.,volume (Å³ per atom)
1,12.8
2,27.7
3,15.9
4,28.2
5,17.7
6,14.2
7,24.7
8,17.5